# 1
VASP calculation (PBE) on a relaxed structure of AgPPt2.

Properties
Crystal system: tetragonal

Cell and atoms, written as CIF:
```
data_AgPPt2
_cell_length_a 3.873
_cell_length_b 4.036
_cell_length_c 4.036
_cell_angle_alpha 90.00
_cell_angle_beta 90.00
_cell_angle_gamma 90.00
_symmetry_space_group_name_H-M 'P 1'
_symmetry_Int_Tables_number 1
_symmetry_space_group_name_Hall 'P 1'
loop_
_atom_site_label
_atom_site_type_symbol
_atom_site_fract_x
_atom_site_fract_y
_atom_site_fract_z
_atom_site_occupancy
Pt1 Pt 0.000 0.000 0.000 1
Ag1 Ag 0.500 0.500 0.000 1
P1 P 0.500 0.000 0.500 1
Pt2 Pt 0.000 0.500 0.500 1
```

=====

# 2
VASP calculation (PBE) on a relaxed structure of AgP2Pt.

Properties
Offset from the most stable computed form in meV per atom: 281
Crystal system: monoclinic

Cell and atoms, written as CIF:
```
data_AgP2Pt
_cell_length_a 4.511
_cell_length_b 2.756
_cell_length_c 5.193
_cell_angle_alpha 89.91
_cell_angle_beta 90.00
_cell_angle_gamma 90.00
_symmetry_space_group_name_H-M 'P 1'
_symmetry_Int_Tables_number 1
_symmetry_space_group_name_Hall 'P 1'
loop_
_atom_site_label
_atom_site_type_symbol
_atom_site_fract_x
_atom_site_fract_y
_atom_site_fract_z
_atom_site_occupancy
P1 P 0.500 0.255 0.291 1
P2 P 0.000 0.254 0.956 1
Pt1 Pt 0.000 0.254 0.474 1
Ag1 Ag 0.500 0.737 0.779 1
```

=====

# 3
VASP calculation (PBE) on a relaxed structure of AgP2Pt.

Properties
Offset from the most stable computed form in meV per atom: 286
Crystal system: tetragonal

Cell and atoms, written as CIF:
```
data_AgP2Pt
_cell_length_a 3.595
_cell_length_b 3.595
_cell_length_c 5.244
_cell_angle_alpha 90.00
_cell_angle_beta 90.00
_cell_angle_gamma 90.00
_symmetry_space_group_name_H-M 'P 1'
_symmetry_Int_Tables_number 1
_symmetry_space_group_name_Hall 'P 1'
loop_
_atom_site_label
_atom_site_type_symbol
_atom_site_fract_x
_atom_site_fract_y
_atom_site_fract_z
_atom_site_occupancy
P1 P 0.000 0.000 0.858 1
Ag1 Ag 0.500 0.500 0.878 1
P2 P 0.500 0.500 0.366 1
Pt1 Pt 0.000 0.000 0.398 1
```

=====

# 4
VASP calculation (PBE) on a relaxed structure of AgPPt2.

Properties
Crystal system: orthorhombic

Cell and atoms, written as CIF:
```
data_AgPPt2
_cell_length_a 3.684
_cell_length_b 3.480
_cell_length_c 5.495
_cell_angle_alpha 90.00
_cell_angle_beta 90.00
_cell_angle_gamma 90.00
_symmetry_space_group_name_H-M 'P 1'
_symmetry_Int_Tables_number 1
_symmetry_space_group_name_Hall 'P 1'
loop_
_atom_site_label
_atom_site_type_symbol
_atom_site_fract_x
_atom_site_fract_y
_atom_site_fract_z
_atom_site_occupancy
Pt1 Pt 0.000 0.750 0.498 1
Pt2 Pt 0.000 0.750 0.002 1
P1 P 0.500 0.750 0.750 1
Ag1 Ag 0.500 0.250 0.250 1
```

=====

# 5
VASP calculation (PBE) on a relaxed structure of AgPPt2.

Properties
Crystal system: monoclinic

Cell and atoms, written as CIF:
```
data_AgPPt2
_cell_length_a 3.073
_cell_length_b 3.073
_cell_length_c 8.103
_cell_angle_alpha 78.93
_cell_angle_beta 78.93
_cell_angle_gamma 59.96
_symmetry_space_group_name_H-M 'P 1'
_symmetry_Int_Tables_number 1
_symmetry_space_group_name_Hall 'P 1'
loop_
_atom_site_label
_atom_site_type_symbol
_atom_site_fract_x
_atom_site_fract_y
_atom_site_fract_z
_atom_site_occupancy
Pt1 Pt 0.987 0.987 0.043 1
Ag1 Ag 0.750 0.750 0.750 1
Pt2 Pt 0.513 0.513 0.457 1
P1 P 0.250 0.250 0.250 1
```

=====

# 6
VASP calculation (PBE) on a relaxed structure of AgPPt2.

Properties
Crystal system: orthorhombic

Cell and atoms, written as CIF:
```
data_AgPPt2
_cell_length_a 2.807
_cell_length_b 4.809
_cell_length_c 4.753
_cell_angle_alpha 90.00
_cell_angle_beta 90.00
_cell_angle_gamma 90.00
_symmetry_space_group_name_H-M 'P 1'
_symmetry_Int_Tables_number 1
_symmetry_space_group_name_Hall 'P 1'
loop_
_atom_site_label
_atom_site_type_symbol
_atom_site_fract_x
_atom_site_fract_y
_atom_site_fract_z
_atom_site_occupancy
Ag1 Ag 0.500 0.000 0.500 1
P1 P 0.000 0.500 0.500 1
Pt1 Pt 0.500 0.500 0.000 1
Pt2 Pt 0.000 0.000 0.000 1
```

=====

# 7
VASP calculation (PBE) on a relaxed structure of AgP2Pt.

Properties
Offset from the most stable computed form in meV per atom: 158
Crystal system: tetragonal

Cell and atoms, written as CIF:
```
data_AgP2Pt
_cell_length_a 5.495
_cell_length_b 5.495
_cell_length_c 6.787
_cell_angle_alpha 66.12
_cell_angle_beta 66.12
_cell_angle_gamma 90.00
_symmetry_space_group_name_H-M 'P 1'
_symmetry_Int_Tables_number 1
_symmetry_space_group_name_Hall 'P 1'
loop_
_atom_site_label
_atom_site_type_symbol
_atom_site_fract_x
_atom_site_fract_y
_atom_site_fract_z
_atom_site_occupancy
Pt1 Pt 0.750 0.250 0.500 1
Ag1 Ag 0.250 0.750 0.500 1
Ag2 Ag 0.500 0.500 0.000 1
P1 P 0.093 0.625 0.250 1
P2 P 0.657 0.125 0.250 1
Pt2 Pt 0.000 0.000 0.000 1
P3 P 0.375 0.343 0.750 1
P4 P 0.875 0.907 0.750 1
```

=====

# 8
VASP calculation (PBE) on a relaxed structure of AgP2Pt.

Properties
Offset from the most stable computed form in meV per atom: 80
Crystal system: trigonal

Cell and atoms, written as CIF:
```
data_AgP2Pt
_cell_length_a 6.618
_cell_length_b 6.618
_cell_length_c 6.618
_cell_angle_alpha 31.71
_cell_angle_beta 31.71
_cell_angle_gamma 31.71
_symmetry_space_group_name_H-M 'P 1'
_symmetry_Int_Tables_number 1
_symmetry_space_group_name_Hall 'P 1'
loop_
_atom_site_label
_atom_site_type_symbol
_atom_site_fract_x
_atom_site_fract_y
_atom_site_fract_z
_atom_site_occupancy
Pt1 Pt 0.250 0.250 0.250 1
P1 P 0.983 0.983 0.983 1
P2 P 0.517 0.517 0.517 1
Ag1 Ag 0.750 0.750 0.750 1
```

=====

# 9
VASP calculation (PBE) on a relaxed structure of AgPPt2.

Properties
Crystal system: cubic

Cell and atoms, written as CIF:
```
data_AgPPt2
_cell_length_a 4.486
_cell_length_b 4.486
_cell_length_c 4.486
_cell_angle_alpha 60.00
_cell_angle_beta 60.00
_cell_angle_gamma 60.00
_symmetry_space_group_name_H-M 'P 1'
_symmetry_Int_Tables_number 1
_symmetry_space_group_name_Hall 'P 1'
loop_
_atom_site_label
_atom_site_type_symbol
_atom_site_fract_x
_atom_site_fract_y
_atom_site_fract_z
_atom_site_occupancy
Pt1 Pt 0.000 0.000 0.000 1
P1 P 0.750 0.750 0.750 1
Ag1 Ag 0.500 0.500 0.500 1
Pt2 Pt 0.250 0.250 0.250 1
```

=====

# 10
VASP calculation (PBE) on a relaxed structure of AgP2Pt.

Properties
Offset from the most stable computed form in meV per atom: 379
Crystal system: orthorhombic

Cell and atoms, written as CIF:
```
data_AgP2Pt
_cell_length_a 4.392
_cell_length_b 4.392
_cell_length_c 3.302
_cell_angle_alpha 90.00
_cell_angle_beta 90.00
_cell_angle_gamma 97.81
_symmetry_space_group_name_H-M 'P 1'
_symmetry_Int_Tables_number 1
_symmetry_space_group_name_Hall 'P 1'
loop_
_atom_site_label
_atom_site_type_symbol
_atom_site_fract_x
_atom_site_fract_y
_atom_site_fract_z
_atom_site_occupancy
Pt1 Pt 0.500 0.000 0.500 1
Ag1 Ag 0.000 0.500 0.500 1
P1 P 0.000 0.000 0.000 1
P2 P 0.500 0.500 0.000 1
```

=====

# 11
VASP calculation (PBE) on a relaxed structure of AgP2Pt.

Properties
Offset from the most stable computed form in meV per atom: 349
Crystal system: orthorhombic

Cell and atoms, written as CIF:
```
data_AgP2Pt
_cell_length_a 5.061
_cell_length_b 5.061
_cell_length_c 5.061
_cell_angle_alpha 143.46
_cell_angle_beta 123.54
_cell_angle_gamma 69.15
_symmetry_space_group_name_H-M 'P 1'
_symmetry_Int_Tables_number 1
_symmetry_space_group_name_Hall 'P 1'
loop_
_atom_site_label
_atom_site_type_symbol
_atom_site_fract_x
_atom_site_fract_y
_atom_site_fract_z
_atom_site_occupancy
Ag1 Ag 0.759 0.259 0.500 1
Pt1 Pt 0.465 0.465 0.000 1
P1 P 0.239 0.739 0.500 1
P2 P 0.037 0.037 0.000 1
```

=====

# 12
VASP calculation (PBE) on a relaxed structure of AgPPt2.

Properties
Crystal system: orthorhombic

Cell and atoms, written as CIF:
```
data_AgPPt2
_cell_length_a 2.966
_cell_length_b 2.966
_cell_length_c 7.135
_cell_angle_alpha 90.00
_cell_angle_beta 90.00
_cell_angle_gamma 90.10
_symmetry_space_group_name_H-M 'P 1'
_symmetry_Int_Tables_number 1
_symmetry_space_group_name_Hall 'P 1'
loop_
_atom_site_label
_atom_site_type_symbol
_atom_site_fract_x
_atom_site_fract_y
_atom_site_fract_z
_atom_site_occupancy
Pt1 Pt 0.000 0.000 0.959 1
Pt2 Pt 0.000 0.000 0.541 1
Ag1 Ag 0.500 0.500 0.250 1
P1 P 0.500 0.500 0.750 1
```

=====

# 13
VASP calculation (PBE) on a relaxed structure of Ag2PPt2.

Properties
Crystal system: tetragonal

Cell and atoms, written as CIF:
```
data_Ag2PPt2
_cell_length_a 6.140
_cell_length_b 6.140
_cell_length_c 4.630
_cell_angle_alpha 90.00
_cell_angle_beta 90.00
_cell_angle_gamma 90.00
_symmetry_space_group_name_H-M 'P 1'
_symmetry_Int_Tables_number 1
_symmetry_space_group_name_Hall 'P 1'
loop_
_atom_site_label
_atom_site_type_symbol
_atom_site_fract_x
_atom_site_fract_y
_atom_site_fract_z
_atom_site_occupancy
Pt1 Pt 0.342 0.842 0.000 1
Ag1 Ag 0.160 0.660 0.500 1
P1 P 0.000 0.000 0.000 1
Ag2 Ag 0.840 0.340 0.500 1
P2 P 0.500 0.500 0.000 1
Pt2 Pt 0.158 0.342 0.000 1
Pt3 Pt 0.658 0.158 0.000 1
Pt4 Pt 0.842 0.658 0.000 1
Ag3 Ag 0.660 0.840 0.500 1
Ag4 Ag 0.340 0.160 0.500 1
```

=====

# 14
VASP calculation (PBE) on a relaxed structure of RbAgP2Pt4.

Properties
Crystal system: tetragonal

Cell and atoms, written as CIF:
```
data_RbAgP2Pt4
_cell_length_a 4.034
_cell_length_b 4.034
_cell_length_c 10.613
_cell_angle_alpha 90.00
_cell_angle_beta 90.00
_cell_angle_gamma 90.00
_symmetry_space_group_name_H-M 'P 1'
_symmetry_Int_Tables_number 1
_symmetry_space_group_name_Hall 'P 1'
loop_
_atom_site_label
_atom_site_type_symbol
_atom_site_fract_x
_atom_site_fract_y
_atom_site_fract_z
_atom_site_occupancy
Pt1 Pt 0.000 0.500 0.810 1
Pt2 Pt 0.500 0.000 0.810 1
Rb1 Rb 0.000 0.000 0.500 1
Ag1 Ag 0.000 0.000 0.000 1
Pt3 Pt 0.500 0.000 0.190 1
P1 P 0.500 0.500 0.705 1
P2 P 0.500 0.500 0.295 1
Pt4 Pt 0.000 0.500 0.190 1
```

=====

Record order is preserved below.
Raw total energy: -0.3605; -0.3483; -0.3479; -0.3813; -0.3825; -0.3590; -0.3573; -0.3631; -0.3576; -0.3410; -0.3433; -0.3784; -0.3458; -0.3832 Ry per atom
Record order is preserved below.
Formation enthalpy at 0 K: 0.181; 0.190; 0.195; -0.103; -0.118; 0.202; 0.066; -0.012; 0.220; 0.288; 0.258; -0.063; -0.066; -0.364 eV/atom
Record order is preserved below.
Spin magnetization: 0.00; 0.00; 0.00; 0.00; 0.00; 0.00; 0.00; 0.00; 0.00; 0.00; 0.00; 0.00; 0.00; 0.00 μB per formula unit